No. 1
Below is a relaxed structure of B2C, with properties calculated at the GGA-PBE level.

Cell: 3.354 4.685 5.467 Å, 64.28 90.00 90.00°
Fractional coordinates of all 12 atoms:
1 B 0.473 0.807 0.733
2 B 0.667 0.549 0.609
3 B 0.333 0.451 0.391
4 B 0.027 0.807 0.233
5 B 0.833 0.549 0.109
6 B 0.527 0.193 0.267
7 B 0.167 0.451 0.891
8 B 0.973 0.193 0.767
9 C 0.666 0.925 0.949
10 C 0.334 0.075 0.051
11 C 0.166 0.075 0.551
12 C 0.834 0.925 0.449

Summary:
uncorrected energy: -7.144 eV per atom
symmetry: P2_1/c
energy of formation: 36.92 kJ per mole of atoms
crystal system: monoclinic
size of the total moment: 0.0 μB per formula unit
relative energy among the computed polymorphs: 0.197 eV per atom

=====

No. 2
Below is a relaxed structure of Mg3C, with properties calculated at the GGA-PBE level.

Cell: 9.895 9.895 9.895 Å, 154.65 154.65 36.16°
Fractional coordinates of all 8 atoms:
1 Mg 0.000 0.500 0.500
2 Mg 0.500 0.000 0.500
3 Mg 0.750 0.250 0.500
4 Mg 0.250 0.750 0.500
5 Mg 0.874 0.874 0.000
6 Mg 0.126 0.126 0.000
7 C 0.535 0.535 0.000
8 C 0.465 0.465 0.000

Summary:
uncorrected energy: -2.901 eV per atom
symmetry: I4/mmm
energy of formation: 57.98 kJ per mole of atoms
crystal system: tetragonal
size of the total moment: 0.0 μB per formula unit
relative energy among the computed polymorphs: 0.266 eV per atom

=====

No. 3
Below is a relaxed structure of TbThAu2, with properties calculated at the GGA-PBE level.

Cell: 3.903 4.683 5.937 Å, 90.00 109.28 90.00°
Fractional coordinates of all 4 atoms:
1 Tb 0.445 0.500 0.429
2 Th 0.719 0.000 0.978
3 Au 0.173 0.500 0.886
4 Au 0.994 0.000 0.526

Summary:
uncorrected energy: -5.392 eV per atom
symmetry: Pm
energy of formation: -71.43 kJ per mole of atoms
crystal system: monoclinic
size of the total moment: 0.0 μB per formula unit
relative energy among the computed polymorphs: 0.000 eV per atom

=====

No. 4
Below is a relaxed structure of TmHfTa4, with properties calculated at the GGA-PBE level.

Cell: 5.615 5.615 5.615 Å, 60.00 60.00 60.00°
Fractional coordinates of all 6 atoms:
1 Tm 0.250 0.250 0.250
2 Hf 0.000 0.000 0.000
3 Ta 0.625 0.625 0.125
4 Ta 0.625 0.125 0.625
5 Ta 0.625 0.625 0.625
6 Ta 0.125 0.625 0.625

Summary:
uncorrected energy: -10.123 eV per atom
symmetry: F-43m
energy of formation: 17.67 kJ per mole of atoms
crystal system: cubic
size of the total moment: 0.0 μB per formula unit

=====

No. 5
Below is a relaxed structure of BaScSN2, with properties calculated at the GGA-PBE level.

Cell: 4.439 4.439 5.043 Å, 90.00 90.00 90.00°
Site moments in Bohr magnetons follow the coordinates.
Fractional coordinates of all 5 atoms:
1 Sc 0.000 0.000 0.000  -0.07
2 S 0.000 0.000 0.500  0.20
3 Ba 0.500 0.500 0.500  0.01
4 N 0.000 0.500 0.000  0.92
5 N 0.500 0.000 0.000  0.92

Summary:
uncorrected energy: -6.295 eV per atom
symmetry: P4/mmm
formation energy from raw total energies: -0.488 eV per atom
crystal system: tetragonal
size of the total moment: 3.0 μB per formula unit
relative energy among the computed polymorphs: 0.000 eV per atom

=====

No. 6
Below is a relaxed structure of SeS3Cl, with properties calculated at the GGA-PBE level.

Cell: 4.682 4.682 4.682 Å, 90.00 90.00 90.00°
Fractional coordinates of all 5 atoms:
1 S 0.000 0.500 0.000
2 S 0.000 0.000 0.500
3 S 0.500 0.000 0.000
4 Se 0.500 0.500 0.500
5 Cl 0.000 0.000 0.000

Summary:
uncorrected energy: -2.197 eV per atom
symmetry: Pm-3m
formation energy from raw total energies: 1.346 eV per atom
crystal system: cubic
size of the total moment: 0.0 μB per formula unit
relative energy among the computed polymorphs: 1.290 eV per atom

=====

No. 7
Below is a relaxed structure of Ba4MgHg, with properties calculated at the GGA-PBE level.

Cell: 7.486 7.486 7.486 Å, 60.00 60.00 60.00°
Fractional coordinates of all 6 atoms:
1 Ba 0.875 0.375 0.375
2 Ba 0.375 0.375 0.875
3 Ba 0.375 0.875 0.375
4 Ba 0.375 0.375 0.375
5 Mg 0.000 0.000 0.000
6 Hg 0.750 0.750 0.750

Summary:
uncorrected energy: -1.254 eV per atom
symmetry: F-43m
energy of formation: 33.13 kJ per mole of atoms
crystal system: cubic
size of the total moment: 0.0 μB per formula unit
relative energy among the computed polymorphs: 0.547 eV per atom

=====

No. 8
Below is a relaxed structure of Te3MoWS, with properties calculated at the GGA-PBE level.

Cell: 3.451 3.451 37.819 Å, 90.00 90.00 120.00°
Fractional coordinates of all 12 atoms:
1 Te 0.000 0.000 0.322
2 Te 0.000 0.000 0.725
3 Te 0.333 0.667 0.425
4 Te 0.333 0.667 0.523
5 Te 0.000 0.000 0.224
6 Te 0.000 0.000 0.626
7 Mo 0.000 0.000 0.474
8 Mo 0.333 0.667 0.273
9 W 0.000 0.000 0.080
10 W 0.333 0.667 0.675
11 S 0.333 0.667 0.041
12 S 0.333 0.667 0.120

Summary:
uncorrected energy: -6.526 eV per atom
symmetry: P3m1
formation energy from raw total energies: -0.303 eV per atom
crystal system: trigonal
size of the total moment: 0.0 μB per formula unit
relative energy among the computed polymorphs: 0.000 eV per atom

=====

No. 9
Below is a relaxed structure of Dy6AlZn2, with properties calculated at the GGA-PBE level.

Cell: 8.520 8.520 8.520 Å, 108.74 110.69 108.98°
Fractional coordinates of all 18 atoms:
1 Dy 0.555 0.735 0.820
2 Dy 0.445 0.265 0.180
3 Dy 0.086 0.265 0.820
4 Dy 0.914 0.735 0.180
5 Dy 0.798 0.754 0.552
6 Dy 0.202 0.246 0.448
7 Dy 0.202 0.754 0.956
8 Dy 0.798 0.246 0.044
9 Dy 0.722 0.401 0.679
10 Dy 0.278 0.599 0.321
11 Dy 0.278 0.957 0.679
12 Dy 0.722 0.043 0.321
13 Al 0.000 0.500 0.500
14 Al 0.000 0.000 0.000
15 Zn 0.500 0.373 0.873
16 Zn 0.500 0.627 0.127
17 Zn 0.636 0.000 0.636
18 Zn 0.364 0.000 0.364

Summary:
uncorrected energy: -3.989 eV per atom
symmetry: Immm
energy of formation: -21.39 kJ per mole of atoms
crystal system: orthorhombic
size of the total moment: 0.0 μB per formula unit
relative energy among the computed polymorphs: 0.000 eV per atom

=====

No. 10
Below is a relaxed structure of KRbO2F, with properties calculated at the GGA-PBE level.

Cell: 4.517 4.517 5.262 Å, 90.00 90.00 90.00°
Site moments in Bohr magnetons follow the coordinates.
Fractional coordinates of all 5 atoms:
1 K 0.500 0.500 0.500  0.00
2 O 0.000 0.500 0.000  0.35
3 O 0.500 0.000 0.000  0.35
4 Rb 0.000 0.000 0.000  -0.01
5 F 0.000 0.000 0.500  0.02

Summary:
uncorrected energy: -3.211 eV per atom
symmetry: P4/mmm
formation energy from raw total energies: -0.441 eV per atom
crystal system: tetragonal
size of the total moment: 0.9 μB per formula unit

=====

No. 11
Below is a relaxed structure of La12Nd3Ho, with properties calculated at the GGA-PBE level.

Cell: 5.237 5.237 20.960 Å, 90.00 90.00 90.00°
Fractional coordinates of all 16 atoms:
1 La 0.500 0.500 0.000
2 La 0.500 0.500 0.249
3 La 0.500 0.500 0.500
4 La 0.500 0.500 0.751
5 La 0.500 0.000 0.123
6 La 0.500 0.000 0.374
7 La 0.500 0.000 0.626
8 La 0.500 0.000 0.877
9 La 0.000 0.500 0.123
10 La 0.000 0.500 0.374
11 La 0.000 0.500 0.626
12 La 0.000 0.500 0.877
13 Nd 0.000 0.000 0.249
14 Nd 0.000 0.000 0.500
15 Nd 0.000 0.000 0.751
16 Ho 0.000 0.000 0.000

Summary:
uncorrected energy: -4.869 eV per atom
symmetry: P4/mmm
energy of formation: 0.64 kJ per mole of atoms
crystal system: tetragonal
size of the total moment: 0.0 μB per formula unit

=====

No. 12
Below is a relaxed structure of YTl3Os, with properties calculated at the GGA-PBE level.

Cell: 5.805 5.805 5.805 Å, 90.00 90.00 90.00°
Site moments in Bohr magnetons follow the coordinates.
Fractional coordinates of all 5 atoms:
1 Y 0.000 0.000 0.000  -0.20
2 Tl 0.000 0.500 0.000  -0.06
3 Tl 0.000 0.000 0.500  -0.04
4 Tl 0.500 0.000 0.000  -0.05
5 Os 0.500 0.500 0.500  2.85

Summary:
uncorrected energy: -3.191 eV per atom
symmetry: Pm-3m
energy of formation: 170.50 kJ per mole of atoms
crystal system: cubic
size of the total moment: 2.6 μB per formula unit
relative energy among the computed polymorphs: 1.217 eV per atom

=====

No. 13
Below is a relaxed structure of NaLi2Ag9, with properties calculated at the GGA-PBE level.

Cell: 2.904 9.237 9.237 Å, 120.00 90.00 90.00°
Fractional coordinates of all 12 atoms:
1 Na 0.000 0.000 0.000
2 Li 0.000 0.667 0.333
3 Li 0.000 0.333 0.667
4 Ag 0.500 0.819 0.181
5 Ag 0.000 0.000 0.500
6 Ag 0.000 0.500 0.500
7 Ag 0.500 0.819 0.639
8 Ag 0.500 0.181 0.819
9 Ag 0.500 0.639 0.819
10 Ag 0.500 0.181 0.361
11 Ag 0.000 0.500 0.000
12 Ag 0.500 0.361 0.181

Summary:
uncorrected energy: -2.630 eV per atom
symmetry: P6/mmm
energy of formation: -6.08 kJ per mole of atoms
crystal system: hexagonal
size of the total moment: 0.0 μB per formula unit
relative energy among the computed polymorphs: 0.007 eV per atom

=====

No. 14
Below is a relaxed structure of Na2AuSe4, with properties calculated at the GGA-PBE level.

Cell: 8.644 8.644 8.644 Å, 102.89 52.30 127.70°
Fractional coordinates of all 14 atoms:
1 Na 0.076 0.451 0.125
2 Na 0.576 0.125 0.799
3 Na 0.924 0.799 0.625
4 Na 0.424 0.625 0.451
5 Au 0.500 0.250 0.250
6 Au 0.000 0.000 0.000
7 Se 0.840 0.072 0.359
8 Se 0.660 0.482 0.449
9 Se 0.069 0.178 0.482
10 Se 0.431 0.359 0.801
11 Se 0.340 0.891 0.178
12 Se 0.931 0.449 0.891
13 Se 0.569 0.768 0.072
14 Se 0.160 0.801 0.768

Summary:
uncorrected energy: -3.252 eV per atom
symmetry: I-42d
formation energy from raw total energies: -0.416 eV per atom
crystal system: tetragonal
size of the total moment: 0.0 μB per formula unit

=====

No. 15
Below is a relaxed structure of UTl2SbS6, with properties calculated at the GGA-PBE level.

Cell: 7.286 7.338 10.329 Å, 90.00 90.00 90.00°
Fractional coordinates of all 20 atoms:
1 U 0.500 0.246 0.500
2 U 0.000 0.754 0.000
3 Tl 0.500 0.769 0.245
4 Tl 0.000 0.231 0.745
5 Tl 0.500 0.769 0.755
6 Tl 0.000 0.231 0.255
7 Sb 0.000 0.743 0.500
8 Sb 0.500 0.257 0.000
9 S 0.500 0.229 0.255
10 S 0.500 0.229 0.745
11 S 0.000 0.771 0.245
12 S 0.000 0.771 0.755
13 S 0.255 0.000 0.500
14 S 0.745 0.000 0.500
15 S 0.255 0.487 0.500
16 S 0.745 0.487 0.500
17 S 0.755 0.513 0.000
18 S 0.245 0.513 0.000
19 S 0.245 0.000 0.000
20 S 0.755 0.000 0.000

Summary:
uncorrected energy: -4.988 eV per atom
symmetry: Pmmn
formation energy from raw total energies: -0.498 eV per atom
crystal system: orthorhombic
size of the total moment: 0.0 μB per formula unit

=====

No. 16
Below is a relaxed structure of ZrTi12Sn6, with properties calculated at the GGA-PBE level.

Cell: 7.676 7.676 7.676 Å, 104.71 104.71 104.71°
Site moments in Bohr magnetons follow the coordinates.
Fractional coordinates of all 19 atoms:
1 Zr 0.000 0.000 0.000  0.00
2 Ti 0.893 0.107 0.500  0.69
3 Ti 0.847 0.609 0.609  0.07
4 Ti 0.609 0.609 0.847  0.07
5 Ti 0.391 0.153 0.391  0.07
6 Ti 0.391 0.391 0.153  0.07
7 Ti 0.153 0.391 0.391  0.07
8 Ti 0.107 0.500 0.893  0.69
9 Ti 0.500 0.893 0.107  0.69
10 Ti 0.107 0.893 0.500  0.69
11 Ti 0.893 0.500 0.107  0.69
12 Ti 0.500 0.107 0.893  0.69
13 Ti 0.609 0.847 0.609  0.07
14 Sn 0.726 0.276 0.276  -0.01
15 Sn 0.276 0.276 0.726  -0.01
16 Sn 0.276 0.726 0.276  -0.01
17 Sn 0.724 0.724 0.274  -0.01
18 Sn 0.274 0.724 0.724  -0.01
19 Sn 0.724 0.274 0.724  -0.01

Summary:
uncorrected energy: -6.603 eV per atom
symmetry: R-3m
energy of formation: 9.39 kJ per mole of atoms
crystal system: trigonal
size of the total moment: 5.4 μB per formula unit

=====

No. 17
Below is a relaxed structure of HoEr2Tm9, with properties calculated at the GGA-PBE level.

Cell: 5.805 5.805 10.839 Å, 90.00 90.00 90.00°
Fractional coordinates of all 12 atoms:
1 Ho 0.000 0.000 0.000
2 Er 0.000 0.000 0.333
3 Er 0.000 0.000 0.667
4 Tm 0.500 0.500 0.000
5 Tm 0.500 0.500 0.333
6 Tm 0.500 0.500 0.667
7 Tm 0.500 0.000 0.167
8 Tm 0.500 0.000 0.500
9 Tm 0.500 0.000 0.833
10 Tm 0.000 0.500 0.167
11 Tm 0.000 0.500 0.500
12 Tm 0.000 0.500 0.833

Summary:
uncorrected energy: -4.363 eV per atom
symmetry: P4/mmm
energy of formation: 12.83 kJ per mole of atoms
crystal system: tetragonal
size of the total moment: 0.0 μB per formula unit
relative energy among the computed polymorphs: 0.075 eV per atom

=====

No. 18
Below is a relaxed structure of MgAsAu2Se, with properties calculated at the GGA-PBE level.

Cell: 4.935 4.992 4.935 Å, 90.00 90.00 90.00°
Fractional coordinates of all 5 atoms:
1 As 0.000 0.500 0.000
2 Au 0.000 0.000 0.500
3 Au 0.500 0.000 0.000
4 Mg 0.000 0.000 0.000
5 Se 0.500 0.500 0.500

Summary:
uncorrected energy: -2.555 eV per atom
symmetry: P4/mmm
formation energy from raw total energies: 0.702 eV per atom
crystal system: tetragonal
size of the total moment: 0.0 μB per formula unit

=====

No. 19
Below is a relaxed structure of RbCO2, with properties calculated at the GGA-PBE level.

Cell: 3.692 6.404 11.484 Å, 90.00 90.00 90.00°
Fractional coordinates of all 16 atoms:
1 C 0.000 0.067 0.442
2 C 0.000 0.567 0.058
3 C 0.000 0.933 0.558
4 C 0.000 0.433 0.942
5 O 0.000 0.466 0.154
6 O 0.000 0.264 0.452
7 O 0.000 0.236 0.952
8 O 0.000 0.966 0.346
9 O 0.000 0.034 0.654
10 O 0.000 0.534 0.846
11 O 0.000 0.736 0.548
12 O 0.000 0.764 0.048
13 Rb 0.500 0.094 0.152
14 Rb 0.500 0.406 0.652
15 Rb 0.500 0.906 0.848
16 Rb 0.500 0.594 0.348

Summary:
uncorrected energy: -6.569 eV per atom
symmetry: Pbam
formation energy from raw total energies: -1.542 eV per atom
crystal system: orthorhombic
size of the total moment: 0.0 μB per formula unit

=====

No. 20
Below is a relaxed structure of TePBr2, with properties calculated at the GGA-PBE level.

Cell: 3.453 7.532 7.532 Å, 43.61 90.00 90.00°
Site moments in Bohr magnetons follow the coordinates.
Fractional coordinates of all 4 atoms:
1 Br 0.000 0.115 0.115  0.01
2 Br 0.000 0.385 0.385  0.01
3 P 0.500 0.250 0.250  -0.01
4 Te 0.500 0.750 0.750  0.13

Summary:
uncorrected energy: -2.905 eV per atom
symmetry: Cmmm
formation energy from raw total energies: 0.069 eV per atom
crystal system: orthorhombic
size of the total moment: 0.3 μB per formula unit
relative energy among the computed polymorphs: 0.139 eV per atom

=====

No. 21
Below is a relaxed structure of CaAs3Au, with properties calculated at the GGA-PBE level.

Cell: 5.100 5.100 5.100 Å, 90.00 90.00 90.00°
Fractional coordinates of all 5 atoms:
1 As 0.000 0.500 0.000
2 As 0.000 0.000 0.500
3 As 0.500 0.000 0.000
4 Au 0.000 0.000 0.000
5 Ca 0.500 0.500 0.500

Summary:
uncorrected energy: -3.674 eV per atom
symmetry: Pm-3m
energy of formation: 16.56 kJ per mole of atoms
crystal system: cubic
size of the total moment: 0.0 μB per formula unit
relative energy among the computed polymorphs: 0.000 eV per atom

=====

No. 22
Below is a relaxed structure of Si3W5, with properties calculated at the GGA-PBE level.

Cell: 7.273 7.273 7.280 Å, 96.74 96.74 139.92°
Fractional coordinates of all 16 atoms:
1 Si 0.750 0.750 0.000
2 Si 0.250 0.250 0.000
3 Si 0.332 0.168 0.500
4 Si 0.667 0.832 0.500
5 Si 0.168 0.668 0.836
6 Si 0.832 0.332 0.164
7 W 0.249 0.750 0.500
8 W 0.750 0.250 0.500
9 W 0.775 0.075 0.851
10 W 0.224 0.925 0.149
11 W 0.723 0.575 0.299
12 W 0.276 0.425 0.701
13 W 0.575 0.276 0.851
14 W 0.425 0.724 0.149
15 W 0.075 0.223 0.299
16 W 0.924 0.777 0.701

Summary:
uncorrected energy: -10.309 eV per atom
symmetry: I4/mcm
formation energy from raw total energies: -0.180 eV per atom
crystal system: tetragonal
size of the total moment: 0.0 μB per formula unit
relative energy among the computed polymorphs: 0.000 eV per atom